The following is a PBE calculation of an optimized crystal structure of FeC5, from Alexandria.

Values from the calculation:
The formation energy from the elements comes out at 78.1 kJ per mole of atoms. Its offset from the most stable computed form is 0.0000 eV/atom.

Cell and atoms, written as CIF:
```
data_FeC5
_cell_length_a 6.6587
_cell_length_b 2.5315
_cell_length_c 5.2864
_cell_angle_alpha 90.00
_cell_angle_beta 92.47
_cell_angle_gamma 90.00
_space_group_name_H-M_alt 'C 1 m 1'
_space_group_IT_number 8
_space_group_name_Hall 'C -2y'
loop_
_atom_site_label
_atom_site_fract_x
_atom_site_fract_y
_atom_site_fract_z
Fe1 0.0000 0.0000 0.0000
C1 0.1098 0.5000 0.2695
C2 0.2779 0.0000 0.8864
C3 0.3282 0.5000 0.3218
C4 0.4261 0.0000 0.7171
C5 0.4296 0.0000 0.4375
```

=====

The following is a PBE calculation of an optimized crystal structure of AlTl2P2, from Alexandria.

Values from the calculation:
The formation energy from the elements comes out at 1.7 kJ per mole of atoms.

Cell and atoms, written as CIF:
```
data_AlTl2P2
_cell_length_a 6.1998
_cell_length_b 6.1998
_cell_length_c 6.0202
_cell_angle_alpha 90.00
_cell_angle_beta 90.00
_cell_angle_gamma 90.00
_space_group_name_H-M_alt 'P 4/m b m'
_space_group_IT_number 127
_space_group_name_Hall '-P 4 2ab'
loop_
_atom_site_label
_atom_site_fract_x
_atom_site_fract_y
_atom_site_fract_z
Al1 0.0000 0.0000 0.0000
Tl1 0.1969 0.3031 0.5000
P1 0.1254 0.6254 0.0000
```